# La5SmHo6 | Alexandria | GGA-PBE | optimized geometry
data_La5SmHo6
_symmetry_space_group_name_H-M 'I m m m'
_symmetry_Int_Tables_number 71
_symmetry_space_group_name_Hall '-I 2 2'
_cell_length_a 5.213
_cell_length_b 9.962
_cell_length_c 15.563
_cell_angle_alpha 90.00
_cell_angle_beta 90.00
_cell_angle_gamma 90.00
loop_
_atom_site_label
_atom_site_type_symbol
_atom_site_fract_x
_atom_site_fract_y
_atom_site_fract_z
La1 La 0.000 0.000 0.000
La2 La 0.000 0.000 0.335
La3 La 0.000 0.500 0.333
Sm1 Sm 0.000 0.500 0.000
Ho1 Ho 0.000 0.249 0.500
Ho2 Ho 0.000 0.251 0.166
# * E: -113.1 eV for the cell shown